1.
The following is a PBE calculation of crystalline ThNbSn2 at its relaxed geometry, from the Alexandria database.

The structure in POSCAR format:
```
ThNbSn2
1.0
3.654 0.000 0.000
0.000 3.654 0.000
0.000 0.000 7.202
Th Nb Sn
1 1 2
Cartesian
0.000 0.000 0.000
0.000 0.000 3.601
1.827 1.827 2.096
1.827 1.827 5.106
```

Summary:
Magnetic moment, μB per cell: 0.0
Space group: P4/mmm (123)
Calculated density, g/cm³: 9.71
Volume, Å³/cell: 96
ΔE_f, eV/atom: -0.2043

=====

2.
The following is a PBE calculation of crystalline Th2NbSn at its relaxed geometry, from the Alexandria database.

The structure in POSCAR format:
```
Th2NbSn
1.0
4.904 0.000 0.000
0.000 4.904 0.000
0.000 0.000 4.387
Th Nb Sn
2 1 1
Cartesian
0.000 2.452 0.000
2.452 0.000 0.000
0.000 0.000 2.194
2.452 2.452 2.194
```

Summary:
Magnetic moment, μB per cell: 0.0
Space group: P4/mmm (123)
Calculated density, g/cm³: 10.63
Volume, Å³/cell: 106
ΔE_f, eV/atom: -0.1023

=====

3.
The following is a PBE calculation of crystalline Th2NbSn at its relaxed geometry, from the Alexandria database.

The structure in POSCAR format:
```
Th2NbSn
1.0
1.655 0.956 11.525
-1.655 0.956 11.525
0.000 -1.911 11.525
Th Nb Sn
2 1 1
Cartesian
0.000 0.000 2.917
0.000 0.000 31.657
0.000 0.000 0.000
0.000 0.000 17.287
```

Summary:
Magnetic moment, μB per cell: 0.0
Space group: R-3m (166)
Calculated density, g/cm³: 10.26
Volume, Å³/cell: 109
ΔE_f, eV/atom: 0.3687

=====

4.
The following is a PBE calculation of crystalline Ti7NbSn4 at its relaxed geometry, from the Alexandria database.

The structure in POSCAR format:
```
Ti7NbSn4
1.0
5.208 -2.454 0.000
5.208 2.454 0.000
-5.025 0.000 9.286
Ti Nb Sn
7 1 4
Cartesian
0.000 0.000 0.000
-1.168 0.000 4.917
2.616 0.000 0.748
1.687 0.000 5.787
3.705 0.000 3.499
2.775 0.000 8.538
6.560 0.000 4.369
5.208 0.000 0.000
-2.844 0.000 7.225
0.754 0.000 2.905
4.637 0.000 6.382
8.236 0.000 2.061
```

Summary:
Magnetic moment, μB per cell: 2.5
Space group: C2/m (12)
Calculated density, g/cm³: 6.31
Volume, Å³/cell: 237
ΔE_f, eV/atom: 0.0465

=====

5.
The following is a PBE calculation of crystalline Ti3NbSn at its relaxed geometry, from the Alexandria database.

The structure in POSCAR format:
```
Ti3NbSn
1.0
4.801 0.000 0.000
0.000 4.801 0.000
0.000 0.000 4.801
Ti Nb Sn
3 1 1
Cartesian
0.000 0.000 2.400
0.000 2.400 0.000
2.400 0.000 0.000
0.000 0.000 0.000
2.400 2.400 2.400
```

Summary:
Magnetic moment, μB per cell: 1.2
Space group: Pm-3m (221)
Calculated density, g/cm³: 5.33
Volume, Å³/cell: 111
ΔE_f, eV/atom: 0.7612

=====

6.
The following is a PBE calculation of crystalline TiNb12Sn3 at its relaxed geometry, from the Alexandria database.

The structure in POSCAR format:
```
TiNb12Sn3
1.0
5.301 0.000 0.000
0.000 5.328 0.000
0.000 0.000 10.600
Ti Nb Sn
1 12 3
Cartesian
0.000 0.000 0.000
0.000 1.303 2.595
0.000 1.303 8.006
0.000 4.025 2.595
0.000 4.025 8.006
1.284 2.664 0.000
1.324 2.664 5.300
2.651 0.000 1.287
2.651 0.000 3.959
2.651 0.000 6.641
2.651 0.000 9.313
3.977 2.664 5.300
4.017 2.664 0.000
0.000 0.000 5.300
2.651 2.664 2.653
2.651 2.664 7.947
```

Summary:
Magnetic moment, μB per cell: 0.0
Space group: Pmmm (47)
Calculated density, g/cm³: 8.42
Volume, Å³/cell: 299
ΔE_f, eV/atom: -0.1639

=====

7.
The following is a PBE calculation of crystalline Ti2Nb7Sn3 at its relaxed geometry, from the Alexandria database.

The structure in POSCAR format:
```
Ti2Nb7Sn3
1.0
4.969 0.000 0.000
0.000 2.972 0.000
-0.179 0.000 15.818
Ti Nb Sn
2 7 3
Cartesian
1.028 0.000 4.640
3.761 0.000 11.178
0.000 1.486 0.000
0.860 0.000 13.040
1.167 0.000 7.280
1.558 1.486 2.361
3.231 1.486 13.456
3.622 0.000 8.538
3.930 0.000 2.777
1.252 1.486 10.126
2.484 0.000 0.000
3.538 1.486 5.692
```

Summary:
Magnetic moment, μB per cell: 0.0
Space group: P2/m (10)
Calculated density, g/cm³: 7.84
Volume, Å³/cell: 234
ΔE_f, eV/atom: 0.1961

=====

8.
The following is a PBE calculation of crystalline Ti6NbSn at its relaxed geometry, from the Alexandria database.

The structure in POSCAR format:
```
Ti6NbSn
1.0
4.741 0.000 0.000
0.000 3.006 5.004
0.000 -3.006 5.004
Ti Nb Sn
6 1 1
Cartesian
0.000 0.000 0.000
0.000 -1.470 7.543
0.000 1.470 7.543
2.370 -1.491 4.402
2.370 1.491 4.402
2.370 0.000 6.900
0.000 0.000 5.098
2.370 0.000 1.866
```

Summary:
Magnetic moment, μB per cell: 0.0
Space group: Amm2 (38)
Calculated density, g/cm³: 5.81
Volume, Å³/cell: 143
ΔE_f, eV/atom: -0.0705

=====

9.
The following is a PBE calculation of crystalline Ti2Nb2Sn at its relaxed geometry, from the Alexandria database.

The structure in POSCAR format:
```
Ti2Nb2Sn
1.0
7.297 0.000 0.000
0.000 7.297 0.000
0.000 0.000 3.618
Ti Nb Sn
4 4 2
Cartesian
1.263 2.386 0.000
2.386 6.034 0.000
4.911 1.263 0.000
6.034 4.911 0.000
0.928 4.576 1.809
2.720 0.928 1.809
4.576 6.369 1.809
6.369 2.720 1.809
0.000 0.000 1.809
3.648 3.648 1.809
```

Summary:
Magnetic moment, μB per cell: 0.0
Space group: P4/mbm (127)
Calculated density, g/cm³: 6.90
Volume, Å³/cell: 193
ΔE_f, eV/atom: 0.1033

=====

10.
The following is a PBE calculation of crystalline Ti3NbSn at its relaxed geometry, from the Alexandria database.

The structure in POSCAR format:
```
Ti3NbSn
1.0
4.921 0.000 0.000
0.000 4.921 0.000
0.000 0.000 4.921
Ti Nb Sn
3 1 1
Cartesian
0.000 0.000 2.460
0.000 2.460 0.000
2.460 0.000 0.000
2.460 2.460 2.460
0.000 0.000 0.000
```

Summary:
Magnetic moment, μB per cell: 0.8
Space group: Pm-3m (221)
Calculated density, g/cm³: 4.95
Volume, Å³/cell: 119
ΔE_f, eV/atom: 1.2688

=====

11.
The following is a PBE calculation of crystalline Ti4NbSn at its relaxed geometry, from the Alexandria database.

The structure in POSCAR format:
```
Ti4NbSn
1.0
-2.629 3.247 6.713
2.629 -3.247 6.713
2.629 3.247 -6.713
Ti Nb Sn
8 2 2
Cartesian
2.629 1.814 -1.682
0.000 0.000 2.446
0.000 2.091 0.000
2.629 1.814 1.682
0.000 1.433 5.032
0.000 4.402 0.000
0.000 0.000 10.981
0.000 1.433 8.395
1.348 0.000 0.000
3.910 0.000 0.000
2.629 0.000 4.034
0.000 3.247 2.679
```

Summary:
Magnetic moment, μB per cell: 0.0
Space group: Immm (71)
Calculated density, g/cm³: 5.84
Volume, Å³/cell: 229
ΔE_f, eV/atom: 0.1057

=====

12.
The following is a PBE calculation of crystalline Ti4Nb3Sn2 at its relaxed geometry, from the Alexandria database.

The structure in POSCAR format:
```
Ti4Nb3Sn2
1.0
4.640 0.000 0.000
-2.320 4.018 0.000
0.000 0.000 8.731
Ti Nb Sn
4 3 2
Cartesian
0.000 0.000 1.406
0.000 0.000 7.326
0.000 2.679 3.446
2.320 1.339 5.285
0.000 0.000 4.366
0.000 2.679 0.537
2.320 1.339 8.195
0.000 2.679 6.298
2.320 1.339 2.434
```

Summary:
Magnetic moment, μB per cell: 0.0
Space group: P-3m1 (164)
Calculated density, g/cm³: 7.22
Volume, Å³/cell: 163
ΔE_f, eV/atom: -0.1951

=====

13.
The following is a PBE calculation of crystalline TiNb3Sn at its relaxed geometry, from the Alexandria database.

The structure in POSCAR format:
```
TiNb3Sn
1.0
4.733 0.000 0.000
0.000 4.733 0.000
0.000 0.000 4.733
Ti Nb Sn
1 3 1
Cartesian
0.000 0.000 0.000
0.000 0.000 2.367
0.000 2.367 0.000
2.367 0.000 0.000
2.367 2.367 2.367
```

Summary:
Magnetic moment, μB per cell: 0.0
Space group: Pm-3m (221)
Calculated density, g/cm³: 6.97
Volume, Å³/cell: 106
ΔE_f, eV/atom: 0.9181

=====

14.
The following is a PBE calculation of crystalline Ti3Nb2Sn2 at its relaxed geometry, from the Alexandria database.

The structure in POSCAR format:
```
Ti3Nb2Sn2
1.0
7.288 -1.486 0.000
7.288 1.486 0.000
-3.180 0.000 6.139
Ti Nb Sn
3 2 2
Cartesian
0.000 0.000 0.000
2.232 0.000 1.690
9.163 0.000 4.449
-0.539 0.000 5.089
11.934 0.000 1.050
4.298 0.000 3.697
7.097 0.000 2.442
```

Summary:
Magnetic moment, μB per cell: 0.0
Space group: C2/m (12)
Calculated density, g/cm³: 7.08
Volume, Å³/cell: 133
ΔE_f, eV/atom: -0.0130

=====

15.
The following is a PBE calculation of crystalline Ti5Nb2Sn2 at its relaxed geometry, from the Alexandria database.

The structure in POSCAR format:
```
Ti5Nb2Sn2
1.0
7.207 -3.565 0.000
7.207 3.565 0.000
0.000 0.000 6.910
Ti Nb Sn
10 4 4
Cartesian
0.000 0.000 0.000
5.368 2.518 4.452
5.368 1.047 0.997
9.046 2.518 4.452
9.046 1.047 0.997
7.207 0.000 3.455
5.368 -1.047 5.914
5.368 -2.518 2.459
9.046 -1.047 5.914
9.046 -2.518 2.459
7.207 2.429 2.340
7.207 1.136 5.795
7.207 -1.136 1.115
7.207 -2.429 4.571
2.916 0.000 0.000
4.291 0.000 3.455
10.122 0.000 3.455
11.498 0.000 0.000
```

Summary:
Magnetic moment, μB per cell: 0.0
Space group: Cmce (64)
Calculated density, g/cm³: 6.20
Volume, Å³/cell: 355
ΔE_f, eV/atom: 0.0685

=====

16.
The following is a PBE calculation of crystalline Ti3NbSn2 at its relaxed geometry, from the Alexandria database.

The structure in POSCAR format:
```
Ti3NbSn2
1.0
2.217 -6.719 0.000
2.217 6.719 0.000
0.000 0.000 3.724
Ti Nb Sn
3 1 2
Cartesian
0.000 0.000 0.000
2.217 2.248 0.000
2.217 -2.248 0.000
2.217 0.000 1.862
2.217 4.606 1.862
2.217 -4.606 1.862
```

Summary:
Magnetic moment, μB per cell: 0.0
Space group: Cmmm (65)
Calculated density, g/cm³: 7.09
Volume, Å³/cell: 111
ΔE_f, eV/atom: -0.3229

=====

17.
The following is a PBE calculation of crystalline Ti2Nb3Sn2 at its relaxed geometry, from the Alexandria database.

The structure in POSCAR format:
```
Ti2Nb3Sn2
1.0
-4.156 4.156 4.156
4.156 -4.156 4.156
4.156 4.156 -4.156
Ti Nb Sn
4 6 4
Cartesian
5.669 -1.513 1.513
1.513 5.669 -1.513
2.643 2.643 2.643
-1.513 1.513 5.669
6.234 1.983 0.000
2.173 0.000 2.078
2.078 2.173 0.000
0.000 2.078 2.173
1.983 0.000 6.234
0.000 6.234 1.983
4.100 0.056 -0.056
0.056 0.056 0.056
0.056 -0.056 4.100
-0.056 4.100 0.056
```

Summary:
Magnetic moment, μB per cell: 0.0
Space group: I2_13 (199)
Calculated density, g/cm³: 7.08
Volume, Å³/cell: 287
ΔE_f, eV/atom: 0.1973

=====

18.
The following is a PBE calculation of crystalline Ti3Nb3Sn at its relaxed geometry, from the Alexandria database.

The structure in POSCAR format:
```
Ti3Nb3Sn
1.0
3.660 2.113 5.825
-3.660 2.113 5.825
0.000 -4.227 5.825
Ti Nb Sn
6 6 2
Cartesian
-1.848 0.458 5.068
0.527 -1.830 5.068
-1.321 -1.372 12.405
1.321 1.372 5.068
-0.527 1.830 12.405
1.848 -0.458 12.405
-1.742 -0.005 7.727
-0.866 -1.511 9.746
0.875 -1.506 7.727
-0.875 1.506 9.746
0.866 1.511 7.727
1.742 0.005 9.746
0.000 0.000 2.725
0.000 0.000 14.749
```

Summary:
Magnetic moment, μB per cell: 0.0
Space group: R-3 (148)
Calculated density, g/cm³: 6.65
Volume, Å³/cell: 270
ΔE_f, eV/atom: 0.1926

=====

19.
The following is a PBE calculation of crystalline TiNbSn2 at its relaxed geometry, from the Alexandria database.

The structure in POSCAR format:
```
TiNbSn2
1.0
3.125 0.000 0.000
0.000 3.125 0.000
0.000 0.000 8.138
Ti Nb Sn
1 1 2
Cartesian
0.000 0.000 0.000
0.000 0.000 4.069
1.563 1.563 1.991
1.563 1.563 6.147
```

Summary:
Magnetic moment, μB per cell: 0.0
Space group: P4/mmm (123)
Calculated density, g/cm³: 7.90
Volume, Å³/cell: 79
ΔE_f, eV/atom: -0.0266

=====

20.
The following is a PBE calculation of crystalline Ti2Nb2Sn at its relaxed geometry, from the Alexandria database.

The structure in POSCAR format:
```
Ti2Nb2Sn
1.0
6.905 -2.268 0.000
6.905 2.268 0.000
-0.348 0.000 2.959
Ti Nb Sn
2 2 1
Cartesian
1.308 0.000 1.305
12.154 0.000 1.654
4.003 0.000 0.485
9.458 0.000 2.474
6.905 0.000 0.000
```

Summary:
Magnetic moment, μB per cell: 0.0
Space group: C2/m (12)
Calculated density, g/cm³: 7.17
Volume, Å³/cell: 93
ΔE_f, eV/atom: -0.1151